# BeTe2MoI

Crystalline BeTe2MoI at its relaxed geometry (PBE, Alexandria).

a = 5.244 Å, b = 5.244 Å, c = 5.800 Å
α = 90.00°, β = 90.00°, γ = 90.00°
Last column: magnetic moment on the atom in μB.
Element x y z (fractional)
Te 0.500 0.000 0.000  -0.02
Te 0.000 0.500 0.000  -0.02
I 0.000 0.000 0.500  0.04
Mo 0.000 0.000 0.000  0.86
Be 0.500 0.500 0.500  -0.02

Energy relative to the elements, uncorrected (meV per atom): 890
D(E_F) (states/eV per atom): 0.7888
SG: P4/mmm (123)
Energy above the lowest structure with this stoichiometry (eV per formula unit): 0.00
Energy (eV per atom): -3.588